InAgPb: relaxed, PBE-GGA.

Calculated values
Calculated formation energy = 56 meV per atom
Symmetry = Pm (6)

```
InAgPb
1.0
4.817 0.000 0.000
0.000 6.617 0.360
0.000 2.130 4.900
In Ag Pb
2 2 2
direct
0.374 0.745 0.245 In
0.874 0.749 0.632 In
0.874 0.485 0.255 Ag
0.374 0.493 0.905 Ag
0.374 0.132 0.521 Pb
0.874 0.163 0.960 Pb
```